DFT (PBE) results for crystalline Fe2TcAsH at its relaxed geometry.

Cell and atoms, written as extended XYZ:
```
5
Lattice="3.731 0.000 0.000 0.000 3.731 0.000 0.000 0.000 3.904" Properties=species:S:1:pos:R:3 pbc="T T T"
Fe 0.000 1.866 0.000
Fe 1.866 0.000 0.000
Tc 0.000 0.000 1.952
As 1.866 1.866 1.952
H 0.000 0.000 0.000
```

Results
Its total energy is -6.950 eV per atom.



DFT (PBE) results for crystalline SmTm2Cd3 at its relaxed geometry.

Cell and atoms, written as extended XYZ:
```
6
Lattice="3.726 0.000 0.000 0.000 3.726 0.000 0.000 0.000 11.276" Properties=species:S:1:pos:R:3 pbc="T T T"
Sm 0.000 0.000 0.000
Tm 0.000 0.000 3.801
Tm 0.000 0.000 7.476
Cd 1.863 1.863 2.003
Cd 1.863 1.863 5.638
Cd 1.863 1.863 9.273
```

Results
The formation energy comes out at -0.311 eV per atom.